Entry 1:
# KMgSc2, relaxed, DFT PBE-GGA
data_KMgSc2
_chemical_formula_sum 'K2 Mg2 Sc4'
_cell_length_a 11.261
_cell_length_b 3.302
_cell_length_c 6.557
_cell_angle_alpha 90.00
_cell_angle_beta 96.22
_cell_angle_gamma 90.00
_space_group_name_H-M_alt 'C 1 2/m 1'
_space_group_IT_number 12
loop_
_space_group_symop_operation_xyz
'x,y,z'
'-x,-y,-z'
'-x,y,-z'
'x,-y,z'
'x+1/2,y+1/2,z'
'-x+1/2,-y+1/2,-z'
'-x+1/2,y+1/2,-z'
'x+1/2,-y+1/2,z'
loop_
_atom_site_label
_atom_site_fract_x
_atom_site_fract_y
_atom_site_fract_z
_atom_site_occupancy
K1 0.000 0.000 0.000 1
Mg1 0.000 0.500 0.500 1
Sc1 0.237 0.000 0.695 1
# - density (g/cm3) = 2.10
# - ΔH_f (0 K) (kJ/mol of formula units) = 160.2

Entry 2:
# Pu2Si2GeRu5, relaxed, DFT PBE-GGA
data_Pu2Si2GeRu5
_chemical_formula_sum 'Pu4 Si4 Ge2 Ru10'
_cell_length_a 10.083
_cell_length_b 10.083
_cell_length_c 3.153
_cell_angle_alpha 90.00
_cell_angle_beta 90.00
_cell_angle_gamma 90.00
_space_group_name_H-M_alt 'P 4/m b m'
_space_group_IT_number 127
_space_group_name_Hall '-P 4 2ab'
loop_
_atom_site_label
_atom_site_fract_x
_atom_site_fract_y
_atom_site_fract_z
_atom_site_occupancy
Pu1 0.174 0.326 0.000 1
Si1 0.129 0.629 0.000 1
Ge1 0.000 0.000 0.000 1
Ru1 0.000 0.500 0.500 1
Ru2 0.060 0.796 0.500 1
# - density (g/cm3) = 11.63
# - uncorrected formation energy (eV/atom) = -0.446

Entry 3:
# Na2AcRuO4, relaxed, DFT PBE-GGA
data_Na2AcRuO4
_chemical_formula_sum 'Na8 Ac4 Ru4 O16'
_cell_length_a 3.706
_cell_length_b 11.666
_cell_length_c 10.891
_cell_angle_alpha 90.00
_cell_angle_beta 90.00
_cell_angle_gamma 90.00
_space_group_name_H-M_alt 'C m c m'
_space_group_IT_number 63
_space_group_name_Hall '-C 2c 2'
loop_
_atom_site_label
_atom_site_fract_x
_atom_site_fract_y
_atom_site_fract_z
_atom_site_occupancy
Na1 0.000 0.120 0.036 1
Ac1 0.000 0.385 0.250 1
Ru1 0.000 0.350 0.750 1
O1 0.000 0.085 0.250 1
O2 0.000 0.222 0.632 1
O3 0.000 0.500 0.000 1
# - density (g/cm3) = 6.18
# - uncorrected formation energy (eV/atom) = -1.509